Entry from OQMD via LeMat-Bulk: crystalline InReS at its relaxed geometry (PBE).

Lattice parameters (Å, degrees): 6.5737 3.0928 6.6750 90.00 112.29 90.00
Positions (direct):
In (0.0000, 0.0000, 0.0000)
In (0.0101, 0.5000, 0.5090)
Re (0.3321, 0.0000, 0.8445)
Re (0.6843, 0.5000, 0.0927)
S (0.5054, 0.0000, 0.2268)
S (0.5175, 0.5000, 0.7113)

Computed properties:
Space-group type   Pm, No. 6
VASP energy   -6.60 eV/atom


Entry from OQMD via LeMat-Bulk: crystalline InRe3Sb5 at its relaxed geometry (PBE).

Lattice parameters (Å, degrees): 5.5363 5.5363 8.3059 90.00 90.00 120.00
Positions (direct):
In (0.0000, 0.0000, 0.0000)
Re (0.0000, 0.5000, 0.5000)
Re (0.5000, 0.0000, 0.5000)
Re (0.5000, 0.5000, 0.5000)
Sb (0.0000, 0.0000, 0.5000)
Sb (0.3333, 0.6667, 0.2169)
Sb (0.3333, 0.6667, 0.7831)
Sb (0.6667, 0.3333, 0.2169)
Sb (0.6667, 0.3333, 0.7831)

Computed properties:
Space-group type   P6/mmm, No. 191
VASP energy   -6.32 eV/atom


Entry from OQMD via LeMat-Bulk: crystalline InRe3Se5 at its relaxed geometry (PBE).

Lattice parameters (Å, degrees): 5.7454 5.7454 7.3408 90.00 90.00 120.00
Positions (direct):
In (0.0000, 0.0000, 0.0000)
Re (0.0000, 0.5000, 0.5000)
Re (0.5000, 0.0000, 0.5000)
Re (0.5000, 0.5000, 0.5000)
Se (0.0000, 0.0000, 0.5000)
Se (0.3333, 0.6667, 0.2398)
Se (0.3333, 0.6667, 0.7602)
Se (0.6667, 0.3333, 0.2398)
Se (0.6667, 0.3333, 0.7602)

Computed properties:
Space-group type   P6/mmm, No. 191
VASP energy   -6.18 eV/atom


Entry from OQMD via LeMat-Bulk: crystalline SmInRe at its relaxed geometry (PBE).

Lattice parameters (Å, degrees): 4.8686 4.8686 4.8686 60.00 60.00 60.00
Positions (direct):
Sm (0.0000, 0.0000, 0.0000)
In (0.7500, 0.7500, 0.7500)
Re (0.2500, 0.2500, 0.2500)

Computed properties:
Space-group type   F-43m, No. 216
VASP energy   -5.35 eV/atom


Entry from OQMD via LeMat-Bulk: crystalline InRe3Sn5 at its relaxed geometry (PBE).

Lattice parameters (Å, degrees): 5.4244 5.4244 8.3782 90.00 90.00 120.00
Positions (direct):
In (0.0000, 0.0000, 0.0000)
Re (0.0000, 0.5000, 0.5000)
Re (0.5000, 0.0000, 0.5000)
Re (0.5000, 0.5000, 0.5000)
Sn (0.0000, 0.0000, 0.5000)
Sn (0.3333, 0.6667, 0.2045)
Sn (0.3333, 0.6667, 0.7955)
Sn (0.6667, 0.3333, 0.2045)
Sn (0.6667, 0.3333, 0.7955)

Computed properties:
Space-group type   P6/mmm, No. 191
VASP energy   -6.36 eV/atom


Entry from OQMD via LeMat-Bulk: crystalline Th6In2Re at its relaxed geometry (PBE).

Lattice parameters (Å, degrees): 8.8870 8.8870 3.8549 90.00 90.00 120.00
Positions (direct):
Th (0.0000, 0.3886, 0.0000)
Th (0.0000, 0.7540, 0.5000)
Th (0.2460, 0.2460, 0.5000)
Th (0.3886, 0.0000, 0.0000)
Th (0.6114, 0.6114, 0.0000)
Th (0.7540, 0.0000, 0.5000)
In (0.3333, 0.6667, 0.5000)
In (0.6667, 0.3333, 0.5000)
Re (0.0000, 0.0000, 0.0000)

Computed properties:
Space-group type   P-62m, No. 189
VASP energy   -7.10 eV/atom


Entry from OQMD via LeMat-Bulk: crystalline YIn2Re at its relaxed geometry (PBE).

Lattice parameters (Å, degrees): 4.9336 4.9336 4.9336 60.00 60.00 60.00
Positions (direct):
Y (0.0000, 0.0000, 0.0000)
In (0.5000, 0.5000, 0.5000)
In (0.7500, 0.7500, 0.7500)
Re (0.2500, 0.2500, 0.2500)

Computed properties:
Space-group type   F-43m, No. 216
VASP energy   -5.71 eV/atom


Entry from OQMD via LeMat-Bulk: crystalline YInRe2 at its relaxed geometry (PBE).

Lattice parameters (Å, degrees): 4.7269 4.7269 4.7269 60.00 60.00 60.00
Positions (direct):
Y (0.0000, 0.0000, 0.0000)
In (0.7500, 0.7500, 0.7500)
Re (0.2500, 0.2500, 0.2500)
Re (0.5000, 0.5000, 0.5000)

Computed properties:
Space-group type   F-43m, No. 216
VASP energy   -8.06 eV/atom


Entry from OQMD via LeMat-Bulk: crystalline ZnInRe2 at its relaxed geometry (PBE).

Lattice parameters (Å, degrees): 4.4763 4.4763 4.4763 60.00 60.00 60.00
Positions (direct):
Zn (0.0000, 0.0000, 0.0000)
In (0.7500, 0.7500, 0.7500)
Re (0.2500, 0.2500, 0.2500)
Re (0.5000, 0.5000, 0.5000)

Computed properties:
Space-group type   F-43m, No. 216
VASP energy   -6.72 eV/atom


Entry from OQMD via LeMat-Bulk: crystalline ScZnInS3 at its relaxed geometry (PBE).

Lattice parameters (Å, degrees): 7.2453 7.2453 10.0289 90.00 90.00 149.71
Positions (direct):
Sc (0.0000, 0.0000, 0.0000)
Sc (0.0000, 0.0000, 0.5000)
Zn (0.4581, 0.5419, 0.7500)
Zn (0.5419, 0.4581, 0.2500)
In (0.2561, 0.7439, 0.2500)
In (0.7439, 0.2561, 0.7500)
S (0.0611, 0.9389, 0.7500)
S (0.3767, 0.6233, 0.5506)
S (0.3767, 0.6233, 0.9494)
S (0.6233, 0.3767, 0.0506)
S (0.6233, 0.3767, 0.4494)
S (0.9389, 0.0611, 0.2500)

Computed properties:
Space-group type   Cmcm, No. 63
ΔE to the lowest computed polymorph   0 meV per atom
VASP energy   -4.87 eV/atom


Entry from OQMD via LeMat-Bulk: crystalline ScZnInS3 at its relaxed geometry (PBE).

Lattice parameters (Å, degrees): 11.4900 3.7697 12.0695 90.00 90.00 90.00
Positions (direct):
Sc (0.0370, 0.2500, 0.1470)
Sc (0.4630, 0.7500, 0.6470)
Sc (0.5370, 0.2500, 0.3530)
Sc (0.9630, 0.7500, 0.8530)
Zn (0.2463, 0.7500, 0.3066)
Zn (0.2537, 0.2500, 0.8066)
Zn (0.7463, 0.7500, 0.1934)
Zn (0.7537, 0.2500, 0.6934)
In (0.1304, 0.2500, 0.5339)
In (0.3696, 0.7500, 0.0339)
In (0.6304, 0.2500, 0.9661)
In (0.8696, 0.7500, 0.4661)
S (0.0434, 0.7500, 0.2944)
S (0.1029, 0.2500, 0.9359)
S (0.2364, 0.7500, 0.6826)
S (0.2636, 0.2500, 0.1826)
S (0.3971, 0.7500, 0.4359)
S (0.4566, 0.2500, 0.7944)
S (0.5434, 0.7500, 0.2056)
S (0.6029, 0.2500, 0.5641)
S (0.7364, 0.7500, 0.8174)
S (0.7636, 0.2500, 0.3174)
S (0.8971, 0.7500, 0.0641)
S (0.9566, 0.2500, 0.7056)

Computed properties:
Space-group type   Pnma, No. 62
ΔE to the lowest computed polymorph   74 meV per atom
VASP energy   -4.79 eV/atom


Entry from OQMD via LeMat-Bulk: crystalline ZnIn2SeS3 at its relaxed geometry (PBE).

Lattice parameters (Å, degrees): 5.5924 5.6122 6.8751 113.25 113.17 90.76
Positions (direct):
Zn (0.0000, 0.0000, 0.0000)
In (0.5070, 0.4906, 0.9971)
In (0.7458, 0.2354, 0.4914)
Se (0.1353, 0.6467, 0.7271)
S (0.3560, 0.3713, 0.2506)
S (0.6221, 0.0917, 0.7458)
S (0.9016, 0.8653, 0.2505)

Computed properties:
Space-group type   P1, No. 1
VASP energy   -3.85 eV/atom